Entry 1:
A relaxed Sn3PbCl7 crystal, computed with PBE-GGA.

abc: 8.4185 6.8663 6.8663
angles: 99.59 109.23 109.23
Closest atoms and distances in Å follow each position.
Atoms (fractional coordinates):
Sn 0.0000 0.7639 0.2361  7 Cl 2.77-3.02
Sn 0.5000 0.0000 0.0000  6 Cl 2.88-3.11
Sn 0.0000 0.2361 0.7639  7 Cl 2.77-3.02
Pb 0.5000 0.5000 0.5000  6 Cl 2.95-3.13
Cl 0.2388 0.1180 0.1180  3 Sn 2.88-3.02, 1 Pb 2.95
Cl 0.2657 0.1279 0.6304  3 Sn 2.93-3.11, 1 Pb 3.13
Cl 0.7343 0.3696 0.8721  3 Sn 2.93-3.11, 1 Pb 3.13
Cl 0.2657 0.6304 0.1279  3 Sn 2.93-3.11, 1 Pb 3.13
Cl 0.0000 0.5000 0.5000  2 Sn 2.77
Cl 0.7343 0.8721 0.3696  3 Sn 2.93-3.11, 1 Pb 3.13
Cl 0.7612 0.8820 0.8820  3 Sn 2.88-3.02, 1 Pb 2.95

Output
Magnetization   0.0 μB per cell
Electronic total energy   -3.440 eV/atom
N(E_F)   2.94 states/eV per cell

Entry 2:
A relaxed Sm2PuSc crystal, computed with PBE-GGA.

abc: 3.4808 3.4808 9.8070
angles: 90.00 90.00 90.00
Closest atoms and distances in Å follow each position.
Atoms (fractional coordinates):
Sc 0.5000 0.5000 0.0000  8 Sm 3.42, 4 Sc 3.48
Sm 0.0000 0.0000 0.7578  4 Sc 3.42, 4 Sm 3.48, 4 Pu 3.53
Sm 0.0000 0.0000 0.2422  4 Sc 3.42, 4 Sm 3.48, 4 Pu 3.53
Pu 0.5000 0.5000 0.5000  4 Pu 3.48, 8 Sm 3.53

Output
Magnetization   5.7 μB per cell
Electronic total energy   -7.405 eV/atom
N(E_F)   8.86 states/eV per cell

Entry 3:
A relaxed CuGeS2N crystal, computed with PBE-GGA.

abc: 4.8394 4.8394 3.5649
angles: 90.00 90.00 90.00
Closest atoms and distances in Å follow each position.
Atoms (fractional coordinates):
Ge 0.0000 0.0000 0.0000  2 N 1.78
S 0.0000 0.5000 0.0000  2 Ge 2.42
S 0.5000 0.0000 0.0000  2 Ge 2.42
Cu 0.5000 0.5000 0.5000  8 S 3.01
N 0.0000 0.0000 0.5000  2 Ge 1.78

Output
Magnetization   0.0 μB per cell
Electronic total energy   -4.098 eV/atom
N(E_F)   6.25 states/eV per cell

Entry 4:
A relaxed TbPm2NdSe5 crystal, computed with PBE-GGA.

abc: 5.1687 5.1687 11.0237
angles: 90.00 90.00 90.00
Closest atoms and distances in Å follow each position.
Atoms (fractional coordinates):
Tb 0.0000 0.0000 0.5000  6 Se 2.58-2.76
Pm 0.5000 0.5000 0.3363  4 Se 3.15
Pm 0.5000 0.5000 0.6637  4 Se 3.15
Nd 0.0000 0.0000 0.0000  2 Se 2.76
Se 0.0000 0.5000 0.5000  2 Tb 2.58
Se 0.5000 0.0000 0.5000  2 Tb 2.58
Se 0.0000 0.0000 0.7499  1 Tb 2.76, 1 Nd 2.76
Se 0.0000 0.0000 0.2501  1 Tb 2.76, 1 Nd 2.76
Se 0.5000 0.5000 0.0000  4 Nd 3.65, 2 Pm 3.71

Output
Magnetization   0.0 μB per cell
Electronic total energy   -5.274 eV/atom
N(E_F)   5.42 states/eV per cell